Computed, not measured: CaGdZnIr after structural relaxation at the PBE level of DFT.

As for the total energy: -6.965 eV/atom. The calculation puts the total magnetic moment at 7.31 μB per formula unit. Its density of states at the Fermi level is 0.83 states/eV per atom.

The structure belongs to space group F-43m (No. 216); the cell edges are 7.0194, 7.0194 and 7.0194 Å and the angles 90.00°, 90.00° and 90.00°. The asymmetric unit holds Ca at (0.0000, 0.0000, 0.0000), Gd at (0.0000, 0.0000, 0.5000), Zn at (0.2500, 0.2500, 0.2500) and Ir at (0.2500, 0.2500, 0.7500).